(1)
The following is a DFT calculation (PBE-GGA) of a relaxed structure of LaEuEr2.

abc: 8.2043 8.2043 8.2043
angles: 90.00 90.00 90.00
Space group Fm-3m (No. 225)
Unique sites:
La 0.0000 0.0000 0.0000 (multiplicity 4)
Eu 0.0000 0.0000 0.5000 (multiplicity 4)
Er 0.2500 0.2500 0.2500 (multiplicity 8)

Results
Energy of formation in eV per atom: 0.14
DFT total energy in eV per formula unit: -23.76



(2)
The following is a DFT calculation (PBE-GGA) of a relaxed structure of LaEuEr2.

abc: 5.1677 5.1677 5.1153
angles: 90.00 90.00 90.00
Space group P4/mmm (No. 123)
Unique sites:
La 0.0000 0.0000 0.0000 (multiplicity 1)
Eu 0.5000 0.5000 0.0000 (multiplicity 1)
Er 0.0000 0.5000 0.5000 (multiplicity 2)

Results
Energy of formation in eV per atom: 0.10
DFT total energy in eV per formula unit: -23.93



(3)
The following is a DFT calculation (PBE-GGA) of a relaxed structure of LaEuEr.

abc: 3.6931 3.6931 9.0916
angles: 90.00 90.00 120.00
Space group P3m1 (No. 156)
Unique sites:
La 0.0000 0.0000 0.0000 (multiplicity 1)
Eu 0.6667 0.3333 0.3544 (multiplicity 1)
Er 0.3333 0.6667 0.6866 (multiplicity 1)

Results
Energy of formation in eV per atom: 0.05
DFT total energy in eV per formula unit: -19.61



(4)
The following is a DFT calculation (PBE-GGA) of a relaxed structure of LaEuEr.

abc: 3.7291 3.7291 15.5627
angles: 90.00 90.00 90.00
Space group I4mm (No. 107)
Unique sites:
La 0.0000 0.0000 0.0000 (multiplicity 2)
Eu 0.0000 0.0000 0.6790 (multiplicity 2)
Er 0.0000 0.0000 0.3475 (multiplicity 2)

Results
Energy of formation in eV per atom: 0.05
DFT total energy in eV per formula unit: -19.60



(5)
The following is a DFT calculation (PBE-GGA) of a relaxed structure of LaEuEr2.

abc: 3.6991 3.6991 10.0509
angles: 90.00 90.00 90.00
Space group P4/mmm (No. 123)
Unique sites:
La 0.0000 0.0000 0.0000 (multiplicity 1)
Eu 0.0000 0.0000 0.5000 (multiplicity 1)
Er 0.5000 0.5000 0.2413 (multiplicity 2)

Results
Energy of formation in eV per atom: 0.08
DFT total energy in eV per formula unit: -24.02



(6)
The following is a DFT calculation (PBE-GGA) of a relaxed structure of LiLaEuEr.

abc: 8.0758 8.0758 8.0758
angles: 90.00 90.00 90.00
Space group F-43m (No. 216)
Unique sites:
Li 0.0000 0.0000 0.0000 (multiplicity 4)
La 0.2500 0.2500 0.2500 (multiplicity 4)
Eu 0.2500 0.2500 0.7500 (multiplicity 4)
Er 0.0000 0.0000 0.5000 (multiplicity 4)

Results
Energy of formation in eV per atom: 0.19
DFT total energy in eV per formula unit: -20.92



(7)
The following is a DFT calculation (PBE-GGA) of a relaxed structure of LaPmEuEr.

abc: 8.2897 8.2897 8.2897
angles: 90.00 90.00 90.00
Space group F-43m (No. 216)
Unique sites:
La 0.0000 0.0000 0.0000 (multiplicity 4)
Pm 0.0000 0.0000 0.5000 (multiplicity 4)
Eu 0.2500 0.2500 0.2500 (multiplicity 4)
Er 0.2500 0.2500 0.7500 (multiplicity 4)

Results
Energy of formation in eV per atom: 0.13
DFT total energy in eV per formula unit: -24.01



(8)
The following is a DFT calculation (PBE-GGA) of a relaxed structure of LaEuErSc.

abc: 8.0525 8.0525 8.0525
angles: 90.00 90.00 90.00
Space group F-43m (No. 216)
Unique sites:
La 0.0000 0.0000 0.0000 (multiplicity 4)
Eu 0.0000 0.0000 0.5000 (multiplicity 4)
Er 0.2500 0.2500 0.7500 (multiplicity 4)
Sc 0.2500 0.2500 0.2500 (multiplicity 4)

Results
Energy of formation in eV per atom: 0.16
DFT total energy in eV per formula unit: -25.46



(9)
The following is a DFT calculation (PBE-GGA) of a relaxed structure of LaEuErSn.

abc: 7.8593 7.8593 7.8593
angles: 90.00 90.00 90.00
Space group F-43m (No. 216)
Unique sites:
La 0.0000 0.0000 0.0000 (multiplicity 4)
Eu 0.2500 0.2500 0.7500 (multiplicity 4)
Er 0.0000 0.0000 0.5000 (multiplicity 4)
Sn 0.2500 0.2500 0.2500 (multiplicity 4)

Results
Energy of formation in eV per atom: -0.26
DFT total energy in eV per formula unit: -24.82



(10)
The following is a DFT calculation (PBE-GGA) of a relaxed structure of SrLaEuEr.

abc: 8.5907 8.5907 8.5907
angles: 90.00 90.00 90.00
Space group F-43m (No. 216)
Unique sites:
Sr 0.0000 0.0000 0.0000 (multiplicity 4)
La 0.2500 0.2500 0.7500 (multiplicity 4)
Eu 0.2500 0.2500 0.2500 (multiplicity 4)
Er 0.0000 0.0000 0.5000 (multiplicity 4)

Results
Energy of formation in eV per atom: 0.20
DFT total energy in eV per formula unit: -20.66



(11)
The following is a DFT calculation (PBE-GGA) of a relaxed structure of LaEuErTh.

abc: 8.1982 8.1982 8.1982
angles: 90.00 90.00 90.00
Space group F-43m (No. 216)
Unique sites:
La 0.0000 0.0000 0.0000 (multiplicity 4)
Eu 0.2500 0.2500 0.7500 (multiplicity 4)
Er 0.2500 0.2500 0.2500 (multiplicity 4)
Th 0.0000 0.0000 0.5000 (multiplicity 4)

Results
Energy of formation in eV per atom: 0.19
DFT total energy in eV per formula unit: -26.42



(12)
The following is a DFT calculation (PBE-GGA) of a relaxed structure of LaEuErTl.

abc: 7.9478 7.9478 7.9478
angles: 90.00 90.00 90.00
Space group F-43m (No. 216)
Unique sites:
La 0.0000 0.0000 0.0000 (multiplicity 4)
Eu 0.2500 0.2500 0.2500 (multiplicity 4)
Er 0.0000 0.0000 0.5000 (multiplicity 4)
Tl 0.2500 0.2500 0.7500 (multiplicity 4)

Results
Energy of formation in eV per atom: -0.06
DFT total energy in eV per formula unit: -22.38



(13)
The following is a DFT calculation (PBE-GGA) of a relaxed structure of LaEuErTm.

abc: 8.2012 8.2012 8.2012
angles: 90.00 90.00 90.00
Space group F-43m (No. 216)
Unique sites:
La 0.0000 0.0000 0.0000 (multiplicity 4)
Eu 0.2500 0.2500 0.7500 (multiplicity 4)
Er 0.2500 0.2500 0.2500 (multiplicity 4)
Tm 0.0000 0.0000 0.5000 (multiplicity 4)

Results
Energy of formation in eV per atom: 0.15
DFT total energy in eV per formula unit: -23.63



(14)
The following is a DFT calculation (PBE-GGA) of a relaxed structure of Li4EuEr.

abc: 8.4760 8.4760 8.4760
angles: 90.00 90.00 90.00
Space group F-43m (No. 216)
Unique sites:
Li 0.1240 0.1240 0.1240 (multiplicity 16)
Eu 0.0000 0.0000 0.5000 (multiplicity 4)
Er 0.2500 0.2500 0.7500 (multiplicity 4)

Results
Energy of formation in eV per atom: 0.11
DFT total energy in eV per formula unit: -21.85



(15)
The following is a DFT calculation (PBE-GGA) of a relaxed structure of LiEuEr2.

abc: 3.6562 3.6562 8.9145
angles: 90.00 90.00 90.00
Space group P4/mmm (No. 123)
Unique sites:
Li 0.0000 0.0000 0.0000 (multiplicity 1)
Eu 0.0000 0.0000 0.5000 (multiplicity 1)
Er 0.5000 0.5000 0.2035 (multiplicity 2)

Results
Energy of formation in eV per atom: 0.14
DFT total energy in eV per formula unit: -20.74



(16)
The following is a DFT calculation (PBE-GGA) of a relaxed structure of LiEuEr2.

abc: 3.4777 3.4777 37.0709
angles: 90.00 90.00 120.00
Space group R-3m (No. 166, hexagonal axes)
Unique sites:
Li 0.0000 0.0000 0.0000 (multiplicity 3)
Eu 0.0000 0.0000 0.5000 (multiplicity 3)
Er 0.0000 0.0000 0.0859 (multiplicity 6)

Results
Energy of formation in eV per atom: 0.28
DFT total energy in eV per formula unit: -20.18



(17)
The following is a DFT calculation (PBE-GGA) of a relaxed structure of LiNdEuEr.

abc: 8.0141 8.0141 8.0141
angles: 90.00 90.00 90.00
Space group F-43m (No. 216)
Unique sites:
Li 0.0000 0.0000 0.0000 (multiplicity 4)
Nd 0.2500 0.2500 0.2500 (multiplicity 4)
Eu 0.2500 0.2500 0.7500 (multiplicity 4)
Er 0.0000 0.0000 0.5000 (multiplicity 4)

Results
Energy of formation in eV per atom: 0.19
DFT total energy in eV per formula unit: -20.74



(18)
The following is a DFT calculation (PBE-GGA) of a relaxed structure of LiEuErNi.

abc: 7.0571 7.0571 7.0571
angles: 90.00 90.00 90.00
Space group F-43m (No. 216)
Unique sites:
Li 0.0000 0.0000 0.0000 (multiplicity 4)
Eu 0.2500 0.2500 0.2500 (multiplicity 4)
Er 0.2500 0.2500 0.7500 (multiplicity 4)
Ni 0.0000 0.0000 0.5000 (multiplicity 4)

Results
Energy of formation in eV per atom: -0.03
DFT total energy in eV per formula unit: -22.64



(19)
The following is a DFT calculation (PBE-GGA) of a relaxed structure of LiEuErPd.

abc: 7.2083 7.2083 7.2083
angles: 90.00 90.00 90.00
Space group F-43m (No. 216)
Unique sites:
Li 0.0000 0.0000 0.0000 (multiplicity 4)
Eu 0.2500 0.2500 0.2500 (multiplicity 4)
Er 0.2500 0.2500 0.7500 (multiplicity 4)
Pd 0.0000 0.0000 0.5000 (multiplicity 4)

Results
Energy of formation in eV per atom: -0.33
DFT total energy in eV per formula unit: -23.25



(20)
The following is a DFT calculation (PBE-GGA) of a relaxed structure of LiEuErPt.

abc: 7.1128 7.1128 7.1128
angles: 90.00 90.00 90.00
Space group F-43m (No. 216)
Unique sites:
Li 0.0000 0.0000 0.0000 (multiplicity 4)
Eu 0.2500 0.2500 0.7500 (multiplicity 4)
Er 0.2500 0.2500 0.2500 (multiplicity 4)
Pt 0.0000 0.0000 0.5000 (multiplicity 4)

Results
Energy of formation in eV per atom: -0.57
DFT total energy in eV per formula unit: -25.06



These records have DOS at the Fermi energy values of 6.34; 6.66; 3.88; 3.75; 6.33; 5.77; 6.30; 6.34; 5.30; 6.18; 6.61; 6.54; 5.89; 6.05; 5.00; 5.32; 4.61; 4.74; 5.08; 3.83 states/eV/f.u., in the order they appear.